## TeRhBr2 (PBE-GGA)

Data for crystalline TeRhBr2 at its relaxed geometry.

The calculation puts the total DFT energy (no corrections) at -3.756 eV per atom. Its formation energy (no corrections) is -0.2963 eV/atom.

a = 8.6828 Å, b = 8.6828 Å, c = 8.6828 Å
α = 25.58°, β = 25.58°, γ = 25.58°
Element x y z (fractional)
Te 0.7723 0.7723 0.7723
Rh 0.4918 0.4918 0.4918
Br 0.0177 0.0177 0.0177
Br 0.2182 0.2182 0.2182